Density functional theory data (PBE with a Hubbard U) for Pr2FeO5 after structural relaxation.

Lattice parameters (Å, degrees): 10.934 3.907 11.443 90.00 90.00 90.00
Space group Pnma (No. 62)
Symmetry-distinct sites (fractional):
Pr  0.089  0.250  0.217 (multiplicity 4)
Pr  0.136  0.250  0.561 (multiplicity 4)
Fe  0.198  0.250  0.872 (multiplicity 4)
O  0.014  0.750  0.600 (multiplicity 4)
O  0.036  0.250  0.822 (multiplicity 4)
O  0.217  0.250  0.034 (multiplicity 4)
O  0.221  0.750  0.227 (multiplicity 4)
O  0.249  0.750  0.876 (multiplicity 4)

calculated volume = 15.28 Å³ per atom
total magnetic moment = 0.495 μB per atom
DOS at the Fermi energy = 3.69 states/eV/f.u.
total DFT energy (no corrections) = -0.2763 Ha/atom